K2MnTlF6, optimized geometry, DFT PBE with a Hubbard U; magnetic moment = 4.00 Bohr magnetons per cell; E above lowest polymorph = 0.0611 eV/atom; crystal system = monoclinic
1.0
6.216 0.000 0.000
0.000 6.474 0.000
-6.214 0.000 8.872
K Mn Tl F
4 2 2 12
Cartesian
-0.094 0.334 2.199
-3.201 2.903 6.635
3.203 3.571 2.238
0.096 6.141 6.674
3.108 0.000 0.000
0.001 3.237 4.436
-3.107 0.000 4.436
0.000 3.237 0.000
-4.676 1.058 8.479
-1.569 2.180 4.043
-0.950 4.840 3.820
-4.057 4.872 8.256
-2.458 0.328 7.074
0.649 2.909 2.638
-0.646 3.565 6.234
2.461 6.146 1.798
4.059 1.603 0.616
0.952 1.635 5.052
1.571 4.295 4.829
4.678 5.417 0.393